Rb2MgSi2Se6 | GGA-PBE | optimized geometry

Results
Its space group is No. 166. The calculation puts the uncorrected formation energy at -0.7064 eV per atom. The calculation puts the spin magnetization at 0.00 μB per cell. For the total energy, the calculation gives -0.2877 Ry per atom.

a b c (Å): 7.328 7.328 8.930
angles (deg): 65.78 65.78 60.00
Fractional coordinates of all 11 atoms:
1 Rb 0.776 0.776 0.671
2 Rb 0.224 0.224 0.329
3 Mg 0.000 0.000 0.000
4 Si 0.406 0.406 0.782
5 Si 0.594 0.594 0.218
6 Se 0.758 0.758 0.243
7 Se 0.241 0.758 0.243
8 Se 0.758 0.241 0.243
9 Se 0.242 0.759 0.757
10 Se 0.759 0.242 0.757
11 Se 0.242 0.242 0.757

TbPmTeAu | GGA-PBE | optimized geometry

Results
Its space group is No. 160. The calculation puts the uncorrected formation energy at -1.0574 eV per atom. The calculation puts the spin magnetization at 0.00 μB per cell. For the total energy, the calculation gives -0.3680 Ry per atom.

a b c (Å): 4.222 4.222 7.944
angles (deg): 74.59 74.59 60.00
Fractional coordinates of all 4 atoms:
1 Tb 0.994 0.994 0.019
2 Pm 0.506 0.506 0.482
3 Te 0.748 0.748 0.756
4 Au 0.252 0.252 0.243

AcCdPb | GGA-PBE | optimized geometry

Results
Its space group is No. 156. The energy above the most stable polymorph in this dataset comes out at 10 meV per atom. The calculation puts the spin magnetization at 0.00 μB per cell. For the total energy, the calculation gives -0.2423 Ry per atom.

a b c (Å): 4.647 4.948 4.948
angles (deg): 120.00 90.00 90.00
Fractional coordinates of all 3 atoms:
1 Pb 0.092 0.000 0.000
2 Ac 0.661 0.667 0.333
3 Cd 0.246 0.333 0.667